#A
GGA-PBE Sr2GaSn, optimized geometry; symmetry = Fm-3m; calculated volume = 126.8 Å³ per cell
1.0
0.000 3.987 3.987
3.987 0.000 3.987
3.987 3.987 0.000
Sr Ga Sn
2 1 1
Cartesian
5.981 5.981 5.981 Sr
1.994 1.994 1.994 Sr
0.000 0.000 0.000 Ga
3.987 3.987 3.987 Sn



#B
GGA-PBE Sr2GaSn, optimized geometry; symmetry = P4/mmm; calculated volume = 127.0 Å³ per cell
1.0
4.324 0.000 0.000
0.000 5.419 0.000
0.000 0.000 5.419
Sr Ga Sn
2 1 1
Cartesian
0.000 0.000 2.710 Sr
0.000 2.710 0.000 Sr
2.162 0.000 0.000 Ga
2.162 2.710 2.710 Sn



#C
GGA-PBE Sr2GaSn, optimized geometry; symmetry = P2_1/m; calculated volume = 267.5 Å³ per cell
1.0
-1.967 1.939 3.579
-5.130 -4.003 -0.652
6.857 -3.781 5.819
Sr Sn Ga
4 2 2
Cartesian
-0.555 -4.798 3.723 Sr
0.315 -1.046 5.023 Sr
3.802 -2.951 7.973 Sr
-4.043 -2.893 0.773 Sr
2.559 -3.674 4.826 Sn
-2.800 -2.170 3.920 Sn
-0.844 -1.737 1.905 Ga
0.603 -4.107 6.841 Ga



#D
GGA-PBE Sr2GaSn, optimized geometry; symmetry = I-42d; calculated volume = 283.6 Å³ per cell
1.0
8.787 0.000 0.000
0.000 8.787 0.000
4.394 4.394 3.673
Ga Sn Sr
2 2 4
Cartesian
4.394 8.787 1.837 Ga
4.394 4.394 0.000 Ga
0.000 0.000 0.000 Sn
8.787 4.394 1.837 Sn
2.304 6.590 0.918 Sr
6.590 6.697 2.755 Sr
6.483 2.197 0.918 Sr
10.984 10.877 2.755 Sr



#C is preferred energetically. Next in line: 0.093 eV/atom higher.



#A
GGA-PBE Sr2Ga3Sn, optimized geometry; symmetry = Fmmm; calculated volume = 333.0 Å³ per cell
1.0
6.565 -0.043 0.000
-0.447 6.550 0.000
-3.059 -3.254 7.747
Sr Ga Sn
4 6 2
Cartesian
3.283 -0.021 3.873 Sr
4.777 1.639 0.000 Sr
1.341 4.869 0.000 Sr
-0.224 3.275 3.873 Sr
0.000 0.000 2.468 Ga
3.059 3.254 5.279 Ga
1.469 1.562 1.238 Ga
1.590 1.691 6.509 Ga
4.649 4.945 1.238 Ga
-1.590 -1.691 6.509 Ga
3.059 3.254 2.596 Sn
0.000 0.000 5.151 Sn



#B
GGA-PBE Sr2Ga3Sn, optimized geometry; symmetry = Imm2; calculated volume = 164.2 Å³ per cell
1.0
-1.397 1.717 3.941
-0.771 -4.265 1.585
8.454 0.963 -0.014
Sn Ga Sr
1 3 2
Cartesian
6.353 -2.417 3.306 Sn
2.012 -1.405 3.918 Ga
3.800 -2.309 2.354 Ga
-0.360 -1.305 3.033 Ga
4.787 0.627 4.017 Sr
1.879 -0.079 0.701 Sr



#A is preferred energetically. Next in line: 0.039 eV/atom higher.